Entry from the Alexandria database: an optimized crystal structure of AcPmNd2Sm4 (PBE).

Output
- Space group: C2/c, No. 15
- Energy relative to the elements: 0.39 eV per atom
- ρ: 7.2 g/cm³
- Magnetization: 0.000 μB/atom
- Calculated total energy: -4.27 eV/atom

Structure (POSCAR):
```
AcPmNd2Sm4
1.0
9.5934 -0.0239 -1.7498
-0.0307 9.5934 -1.7498
-6.0511 -6.0553 8.5073
Ac Pm Nd Sm
2 2 4 8
direct
0.0000 0.5000 0.0000
0.0000 0.5000 0.5000
0.5000 0.5000 0.5000
0.0000 0.0000 0.0000
0.5000 0.0000 0.0000
0.5000 0.0000 0.5000
0.0000 0.0000 0.5000
0.5000 0.5000 0.0000
0.2642 0.7661 0.0151
0.7339 0.2358 0.4849
0.2661 0.7641 0.5151
0.7359 0.2339 0.9849
0.7122 0.7275 0.9688
0.7725 0.7878 0.5312
0.2275 0.2122 0.4688
0.2878 0.2725 0.0312
```